1.
Computed, not measured: a relaxed MgTi3Ni crystal at the PBE level of DFT.

Cell lengths 4.5966, 4.5966, 4.5966 Å; angles 90.00, 90.00, 90.00 degrees
With the nearest neighbours (Å) after each atom.
Element x y z (fractional)
Ni 0.0000 0.0000 0.0000  6 Ti 2.30
Mg 0.5000 0.5000 0.5000  12 Ti 3.25
Ti 0.0000 0.5000 0.0000  2 Ni 2.30
Ti 0.0000 0.0000 0.5000  2 Ni 2.30
Ti 0.5000 0.0000 0.0000  2 Ni 2.30

energy relative to the lowest polymorph listed for this composition: 0.000 eV/f.u.
size of the total moment: 0.00 μB per formula unit

2.
Computed, not measured: a relaxed Mg2TiNi2 crystal at the PBE level of DFT.

Cell lengths 7.4098, 7.4098, 2.7149 Å; angles 90.00, 90.00, 90.00 degrees
With the nearest neighbours (Å) after each atom.
Element x y z (fractional)
Ni 0.1726 0.6726 0.5000  6 Mg 2.49-2.63, 2 Ni 2.71
Ni 0.6726 0.8274 0.5000  6 Mg 2.49-2.63, 2 Ni 2.71
Ni 0.8274 0.3274 0.5000  6 Mg 2.49-2.63, 2 Ni 2.71
Ni 0.3274 0.1726 0.5000  6 Mg 2.49-2.63, 2 Ni 2.71
Mg 0.3717 0.8717 0.0000  6 Ni 2.49-2.63, 3 Mg 2.69-2.71
Mg 0.8717 0.6283 0.0000  6 Ni 2.49-2.63, 3 Mg 2.69-2.71
Mg 0.6283 0.1283 0.0000  6 Ni 2.49-2.63, 3 Mg 2.69-2.71
Mg 0.1283 0.3717 0.0000  6 Ni 2.49-2.63, 3 Mg 2.69-2.71
Ti 0.0000 0.0000 0.0000  2 Ti 2.71, 4 Mg 2.91
Ti 0.5000 0.5000 0.0000  2 Ti 2.71, 4 Mg 2.91

energy relative to the lowest polymorph listed for this composition: 0.805 eV/f.u.
size of the total moment: 0.00 μB per formula unit

3.
Computed, not measured: a relaxed MgTiNi crystal at the PBE level of DFT.

Cell lengths 2.9622, 2.9622, 5.8890 Å; angles 104.57, 104.57, 90.00 degrees
With the nearest neighbours (Å) after each atom.
Element x y z (fractional)
Ni 0.6785 0.6785 0.3570  4 Ti 2.51, 4 Mg 2.74
Mg 0.0179 0.0179 0.0357  4 Ni 2.74, 4 Mg 2.96
Ti 0.3036 0.3036 0.6073  4 Ni 2.51

energy relative to the lowest polymorph listed for this composition: 0.366 eV/f.u.
size of the total moment: 0.49 μB per formula unit

4.
Computed, not measured: a relaxed MgTi5Ni6 crystal at the PBE level of DFT.

Cell lengths 4.2579, 7.4092, 7.4092 Å; angles 119.87, 106.68, 106.68 degrees
With the nearest neighbours (Å) after each atom.
Element x y z (fractional)
Ni 0.2681 0.0873 0.4492  7 Ti 2.50-2.72, 2 Ni 2.78
Ni 0.7319 0.5508 0.9127  7 Ti 2.50-2.72, 2 Ni 2.78
Ni 0.7809 0.2810 0.2810  6 Ti 2.51-2.66, 1 Ni 2.66, 2 Mg 2.73
Ni 0.2191 0.7190 0.7190  6 Ti 2.51-2.66, 1 Ni 2.66, 2 Mg 2.73
Ni 0.2681 0.4492 0.0873  7 Ti 2.50-2.72, 2 Ni 2.78
Ni 0.7319 0.9127 0.5508  7 Ti 2.50-2.72, 2 Ni 2.78
Mg 0.0000 0.0000 0.0000  8 Ni 2.73-2.84, 6 Ti 2.94-3.04
Ti 0.5000 0.1584 0.8416  8 Ni 2.50-2.70
Ti 0.0000 0.3316 0.6684  8 Ni 2.53-2.56
Ti 0.5000 0.5000 0.5000  8 Ni 2.51-2.72
Ti 0.0000 0.6684 0.3316  8 Ni 2.53-2.56
Ti 0.5000 0.8416 0.1584  8 Ni 2.50-2.70

size of the total moment: 0.00 μB per formula unit

5.
Computed, not measured: a relaxed MgTiNi14 crystal at the PBE level of DFT.

Cell lengths 5.0518, 5.0518, 7.1511 Å; angles 90.00, 90.00, 90.00 degrees
With the nearest neighbours (Å) after each atom.
Element x y z (fractional)
Mg 0.3750 0.3750 0.5000  12 Ni 2.53-2.58
Ti 0.8750 0.8750 0.5000  12 Ni 2.53-2.56
Ni 0.8750 0.8750 0.0000  12 Ni 2.47-2.53
Ni 0.3750 0.3750 0.0000  12 Ni 2.49-2.53
Ni 0.8750 0.3750 0.5000  2 Mg 2.53, 2 Ti 2.53, 8 Ni 2.57
Ni 0.8750 0.3750 0.0000  12 Ni 2.48-2.53
Ni 0.3750 0.8750 0.5000  2 Mg 2.53, 2 Ti 2.53, 8 Ni 2.57
Ni 0.3750 0.8750 0.0000  12 Ni 2.48-2.53
Ni 0.6271 0.1229 0.2409  10 Ni 2.47-2.57, 1 Ti 2.56, 1 Mg 2.58
Ni 0.6271 0.1229 0.7591  10 Ni 2.47-2.57, 1 Ti 2.56, 1 Mg 2.58
Ni 0.1229 0.6271 0.2409  10 Ni 2.47-2.57, 1 Ti 2.56, 1 Mg 2.58
Ni 0.1229 0.6271 0.7591  10 Ni 2.47-2.57, 1 Ti 2.56, 1 Mg 2.58
Ni 0.6271 0.6271 0.2409  10 Ni 2.47-2.57, 1 Ti 2.56, 1 Mg 2.58
Ni 0.6271 0.6271 0.7591  10 Ni 2.47-2.57, 1 Ti 2.56, 1 Mg 2.58
Ni 0.1229 0.1229 0.2409  10 Ni 2.47-2.57, 1 Ti 2.56, 1 Mg 2.58
Ni 0.1229 0.1229 0.7591  10 Ni 2.47-2.57, 1 Ti 2.56, 1 Mg 2.58

size of the total moment: 6.54 μB per formula unit

6.
Computed, not measured: a relaxed Mg6TiNi crystal at the PBE level of DFT.

Cell lengths 6.2485, 6.2485, 4.7455 Å; angles 90.00, 90.00, 122.40 degrees
With the nearest neighbours (Å) after each atom.
Element x y z (fractional)
Mg 0.6576 0.8236 0.0000  1 Ni 2.82, 8 Mg 2.90-3.15, 2 Ti 3.02
Mg 0.1764 0.3424 0.0000  1 Ni 2.82, 8 Mg 2.90-3.15, 2 Ti 3.02
Mg 0.6726 0.3274 0.0000  10 Mg 2.95-3.15, 2 Ni 3.02
Mg 0.8360 0.6803 0.5000  8 Mg 2.91-3.19, 1 Ti 2.92, 2 Ni 3.07
Mg 0.3197 0.1640 0.5000  8 Mg 2.91-3.19, 1 Ti 2.92, 2 Ni 3.07
Mg 0.8327 0.1673 0.5000  10 Mg 2.95-3.19, 2 Ti 3.02
Ti 0.3085 0.6915 0.5000  2 Ni 2.67, 2 Mg 2.92
Ni 0.1965 0.8035 0.0000  2 Ti 2.67, 2 Mg 2.82

energy relative to the lowest polymorph listed for this composition: 0.000 eV/f.u.
size of the total moment: 0.28 μB per formula unit

7.
Computed, not measured: a relaxed MgTi2Ni9 crystal at the PBE level of DFT.

Cell lengths 3.6208, 3.6208, 10.8492 Å; angles 90.00, 90.00, 90.00 degrees
With the nearest neighbours (Å) after each atom.
Element x y z (fractional)
Mg 0.0000 0.0000 0.0000  12 Ni 2.56-2.59
Ti 0.0000 0.0000 0.3311  12 Ni 2.51-2.58
Ti 0.0000 0.0000 0.6689  12 Ni 2.51-2.58
Ni 0.5000 0.5000 0.0000  4 Mg 2.56, 8 Ni 2.59
Ni 0.5000 0.5000 0.3359  8 Ni 2.54, 4 Ti 2.56
Ni 0.5000 0.5000 0.6641  8 Ni 2.54, 4 Ti 2.56
Ni 0.5000 0.0000 0.1713  2 Ti 2.51, 8 Ni 2.54-2.59, 2 Mg 2.59
Ni 0.5000 0.0000 0.5000  8 Ni 2.54-2.56, 4 Ti 2.58
Ni 0.5000 0.0000 0.8287  2 Ti 2.51, 8 Ni 2.54-2.59, 2 Mg 2.59
Ni 0.0000 0.5000 0.1713  2 Ti 2.51, 8 Ni 2.54-2.59, 2 Mg 2.59
Ni 0.0000 0.5000 0.5000  8 Ni 2.54-2.56, 4 Ti 2.58
Ni 0.0000 0.5000 0.8287  2 Ti 2.51, 8 Ni 2.54-2.59, 2 Mg 2.59

size of the total moment: 1.14 μB per formula unit

8.
Computed, not measured: a relaxed MgTiNi crystal at the PBE level of DFT.

Cell lengths 3.0240, 3.0240, 10.4909 Å; angles 90.00, 90.00, 90.00 degrees
With the nearest neighbours (Å) after each atom.
Element x y z (fractional)
Mg 0.0000 0.5000 0.8804  4 Ni 2.73, 4 Mg 3.02
Mg 0.5000 0.0000 0.1196  4 Ni 2.73, 4 Mg 3.02
Ti 0.0000 0.5000 0.5866  4 Ni 2.54, 4 Ti 2.81
Ti 0.5000 0.0000 0.4134  4 Ni 2.54, 4 Ti 2.81
Ni 0.5000 0.0000 0.7179  4 Ti 2.54, 4 Mg 2.73
Ni 0.0000 0.5000 0.2821  4 Ti 2.54, 4 Mg 2.73

energy relative to the lowest polymorph listed for this composition: 0.000 eV/f.u.
size of the total moment: 0.00 μB per formula unit

9.
Computed, not measured: a relaxed MgTi2Ni crystal at the PBE level of DFT.

Cell lengths 2.8130, 2.8130, 8.3271 Å; angles 90.00, 90.00, 90.00 degrees
With the nearest neighbours (Å) after each atom.
Element x y z (fractional)
Ni 0.5000 0.5000 0.0000  8 Ti 2.60, 4 Ni 2.81
Mg 0.5000 0.5000 0.5000  4 Mg 2.81
Ti 0.0000 0.0000 0.7981  4 Ni 2.60, 4 Ti 2.81
Ti 0.0000 0.0000 0.2019  4 Ni 2.60, 4 Ti 2.81

size of the total moment: 0.99 μB per formula unit

10.
Computed, not measured: a relaxed MgTiNi6 crystal at the PBE level of DFT.

Cell lengths 6.2807, 6.2807, 10.2683 Å; angles 90.00, 90.00, 109.60 degrees
With the nearest neighbours (Å) after each atom.
Element x y z (fractional)
Mg 0.7497 0.2503 0.0000  12 Ni 2.56-2.60
Mg 0.2503 0.7497 0.0000  12 Ni 2.56-2.60
Mg 0.5000 0.5000 0.7499  12 Ni 2.56-2.59
Mg 0.5000 0.5000 0.2501  12 Ni 2.56-2.59
Ti 0.7513 0.2487 0.5000  12 Ni 2.53-2.58
Ti 0.2487 0.7513 0.5000  12 Ni 2.53-2.58
Ti 0.0000 0.0000 0.7518  12 Ni 2.53-2.59
Ti 0.0000 0.0000 0.2482  12 Ni 2.53-2.59
Ni 0.7527 0.2473 0.7467  8 Ni 2.53-2.60, 2 Ti 2.53-2.54, 2 Mg 2.59-2.60
Ni 0.1229 0.3717 0.8726  1 Ti 2.53, 8 Ni 2.54-2.62, 3 Mg 2.56-2.59
Ni 0.8771 0.6283 0.8726  1 Ti 2.53, 8 Ni 2.54-2.62, 3 Mg 2.56-2.59
Ni 0.2473 0.7527 0.7467  8 Ni 2.53-2.60, 2 Ti 2.53-2.54, 2 Mg 2.59-2.60
Ni 0.6283 0.8771 0.8726  1 Ti 2.53, 8 Ni 2.54-2.62, 3 Mg 2.56-2.59
Ni 0.3717 0.1229 0.8726  1 Ti 2.53, 8 Ni 2.54-2.62, 3 Mg 2.56-2.59
Ni 0.5000 0.5000 0.5000  2 Mg 2.57, 8 Ni 2.57, 2 Ti 2.58
Ni 0.8780 0.6265 0.6230  8 Ni 2.53-2.58, 3 Ti 2.53-2.58, 1 Mg 2.59
Ni 0.6265 0.8780 0.6230  8 Ni 2.53-2.58, 3 Ti 2.53-2.58, 1 Mg 2.59
Ni 0.7527 0.2473 0.2533  8 Ni 2.53-2.60, 2 Ti 2.53-2.54, 2 Mg 2.59-2.60
Ni 0.1220 0.3735 0.3770  8 Ni 2.53-2.58, 3 Ti 2.53-2.58, 1 Mg 2.59
Ni 0.8780 0.6265 0.3770  8 Ni 2.53-2.58, 3 Ti 2.53-2.58, 1 Mg 2.59
Ni 0.2473 0.7527 0.2533  8 Ni 2.53-2.60, 2 Ti 2.53-2.54, 2 Mg 2.59-2.60
Ni 0.6265 0.8780 0.3770  8 Ni 2.53-2.58, 3 Ti 2.53-2.58, 1 Mg 2.59
Ni 0.3735 0.1220 0.3770  8 Ni 2.53-2.58, 3 Ti 2.53-2.58, 1 Mg 2.59
Ni 0.5000 0.5000 0.0000  4 Mg 2.56-2.57, 8 Ni 2.59
Ni 0.8771 0.6283 0.1274  1 Ti 2.53, 8 Ni 2.54-2.62, 3 Mg 2.56-2.59
Ni 0.6283 0.8771 0.1274  1 Ti 2.53, 8 Ni 2.54-2.62, 3 Mg 2.56-2.59
Ni 0.0000 0.0000 0.5000  8 Ni 2.55, 4 Ti 2.55-2.59
Ni 0.3735 0.1220 0.6230  8 Ni 2.53-2.58, 3 Ti 2.53-2.58, 1 Mg 2.59
Ni 0.1220 0.3735 0.6230  8 Ni 2.53-2.58, 3 Ti 2.53-2.58, 1 Mg 2.59
Ni 0.0000 0.0000 0.0000  2 Ti 2.55, 8 Ni 2.56, 2 Mg 2.57
Ni 0.3717 0.1229 0.1274  1 Ti 2.53, 8 Ni 2.54-2.62, 3 Mg 2.56-2.59
Ni 0.1229 0.3717 0.1274  1 Ti 2.53, 8 Ni 2.54-2.62, 3 Mg 2.56-2.59

size of the total moment: 1.20 μB per formula unit

Number 1: ρ 3.9 g/cm3, total DFT energy (no corrections) -29.4 eV/cell. Number 2: ρ 4.8 g/cm3, total DFT energy (no corrections) -45.1 eV/cell. Number 3: ρ 4.5 g/cm3, total DFT energy (no corrections) -15.7 eV/cell. Number 4: ρ 6.2 g/cm3, total DFT energy (no corrections) -80.0 eV/cell. Number 5: ρ 8.1 g/cm3, total DFT energy (no corrections) -92.2 eV/cell. Number 6: ρ 2.7 g/cm3, total DFT energy (no corrections) -22.6 eV/cell. Number 7: ρ 7.6 g/cm3, total DFT energy (no corrections) -73.7 eV/cell. Number 8: ρ 4.5 g/cm3, total DFT energy (no corrections) -32.1 eV/cell. Number 9: ρ 4.5 g/cm3, total DFT energy (no corrections) -23.4 eV/cell. Number 10: ρ 7.4 g/cm3, total DFT energy (no corrections) -185.8 eV/cell.